Entry 1:
The following is a PBEsol calculation of crystalline KPt3 at its relaxed geometry, from Alexandria.

As for the formation enthalpy at 0 K: 0.261 eV per atom. As for the density of states at the Fermi level: 4.7 states/eV per cell. The value obtained for the total energy is -5.24 eV per atom. Its crystal system is orthorhombic.

The space group is Pmm2 (No. 25) and the conventional cell measures 2.7092, 4.3586 and 6.8091 Å, with angles of 90.00, 90.00 and 90.00 degrees. Symmetry generates all atoms from K at (0.0000, 0.0000, 0.0000), Pt at (0.0000, 0.5000, 0.3586), Pt at (0.5000, 0.0000, 0.4693) and Pt at (0.5000, 0.5000, 0.7032).

=====

Entry 2:
The following is a PBEsol calculation of crystalline Sc2CuAu at its relaxed geometry, from Alexandria.

As for the formation enthalpy at 0 K: -0.425 eV per atom. The value obtained for the total energy is -5.79 eV per atom. Its crystal system is cubic.

The space group is F-43m (No. 216) and the conventional cell measures 6.4075, 6.4075 and 6.4075 Å, with angles of 90.00, 90.00 and 90.00 degrees. Symmetry generates all atoms from Sc at (0.0000, 0.0000, 0.0000), Sc at (0.2500, 0.2500, 0.2500), Cu at (0.2500, 0.2500, 0.7500) and Au at (0.0000, 0.0000, 0.5000).

=====

Entry 3:
The following is a PBEsol calculation of crystalline SnGeAs2 at its relaxed geometry, from Alexandria.

As for the formation enthalpy at 0 K: 0.237 eV per atom. As for the density of states at the Fermi level: 8.6 states/eV per cell. The value obtained for the total energy is -4.62 eV per atom. Its crystal system is cubic.

The space group is Fm-3m (No. 225) and the conventional cell measures 6.8450, 6.8450 and 6.8450 Å, with angles of 90.00, 90.00 and 90.00 degrees. Symmetry generates all atoms from Sn at (0.0000, 0.0000, 0.0000), Ge at (0.0000, 0.0000, 0.5000) and As at (0.2500, 0.2500, 0.2500).

=====

Entry 4:
The following is a PBEsol calculation of crystalline ZrNi2Ag at its relaxed geometry, from Alexandria.

As for the formation enthalpy at 0 K: -0.219 eV per atom. As for the density of states at the Fermi level: 13.3 states/eV per cell. The value obtained for the total energy is -6.40 eV per atom. Its crystal system is cubic.

The space group is Fm-3m (No. 225) and the conventional cell measures 6.1274, 6.1274 and 6.1274 Å, with angles of 90.00, 90.00 and 90.00 degrees. Symmetry generates all atoms from Zr at (0.0000, 0.0000, 0.0000), Ni at (0.2500, 0.2500, 0.2500) and Ag at (0.0000, 0.0000, 0.5000).

=====

Entry 5:
The following is a PBEsol calculation of crystalline LaTiCoTe2 at its relaxed geometry, from Alexandria.

As for the density of states at the Fermi level: 3.9 states/eV per cell. The value obtained for the total energy is -6.06 eV per atom. Its crystal system is tetragonal.

The space group is P4/mmm (No. 123) and the conventional cell measures 5.1999, 5.1999 and 4.2895 Å, with angles of 90.00, 90.00 and 90.00 degrees. Symmetry generates all atoms from La at (0.0000, 0.0000, 0.0000), Ti at (0.5000, 0.5000, 0.0000), Co at (0.5000, 0.5000, 0.5000) and Te at (0.0000, 0.5000, 0.5000).

=====

Entry 6:
The following is a PBEsol calculation of crystalline CaCuO2 at its relaxed geometry, from Alexandria.

As for the density of states at the Fermi level: 0.7 states/eV per cell. The value obtained for the total energy is -6.07 eV per atom. Its crystal system is tetragonal.

The space group is P4/mmm (No. 123) and the conventional cell measures 3.8188, 3.8188 and 3.1450 Å, with angles of 90.00, 90.00 and 90.00 degrees. Symmetry generates all atoms from Ca at (0.0000, 0.0000, 0.0000), Cu at (0.5000, 0.5000, 0.5000) and O at (0.0000, 0.5000, 0.5000).